5
Lattice="5.2870 0.0000 0.0000 0.0000 5.2870 0.0000 0.0000 0.0000 3.9641" Properties=species:S:1:pos:R:3 comment="GGA-PBE BeZnTe2S, relaxed" raw_formation_energy_ev_per_atom=0.29 relative_energy_mev_per_atom=695 pbc="T T T"
Be 0.0000 0.0000 0.0000
Zn 2.6435 2.6435 1.9821
Te 0.0000 2.6435 0.0000
Te 2.6435 0.0000 0.0000
S 0.0000 0.0000 1.9821



16
Lattice="4.9772 0.0000 0.0000 0.0000 4.9772 0.0000 0.0000 0.0000 19.1567" Properties=species:S:1:pos:R:3 comment="GGA-PBE SrTiNb2, relaxed" relative_energy_mev_per_atom=262 formation_enthalpy_0k_ev_per_atom=1.207 pbc="T T T"
Sr 0.0000 1.2443 7.1837
Sr 0.0000 3.7329 11.9729
Sr 2.4886 1.2443 2.3946
Sr 2.4886 3.7329 16.7621
Ti 0.0000 1.2443 16.7621
Ti 0.0000 3.7329 2.3946
Ti 2.4886 1.2443 11.9729
Ti 2.4886 3.7329 7.1837
Nb 0.0000 0.0000 0.0000
Nb 0.0000 2.4886 0.0000
Nb 1.2443 1.2443 14.3675
Nb 1.2443 3.7329 4.7892
Nb 2.4886 0.0000 9.5783
Nb 2.4886 2.4886 9.5783
Nb 3.7329 1.2443 14.3675
Nb 3.7329 3.7329 4.7892



4
Lattice="2.9894 0.0000 0.0000 0.0000 2.9894 0.0000 0.0000 0.0000 7.3903" Properties=species:S:1:pos:R:3 comment="GGA-PBE Pt2WSe, relaxed" raw_formation_energy_ev_per_atom=0.10 pbc="T T T"
Pt 0.0000 0.0000 0.0000
Pt 1.4947 1.4947 1.9496
W 1.4947 1.4947 5.6499
Se 0.0000 0.0000 4.0528



16
Lattice="5.0213 0.0000 0.0000 0.0000 5.0213 0.0000 0.0000 0.0000 19.9297" Properties=species:S:1:pos:R:3 comment="GGA-PBE Ca3Ta, relaxed" relative_energy_mev_per_atom=177 formation_enthalpy_0k_ev_per_atom=0.734 pbc="T T T"
Ca 0.0000 0.0000 2.5130
Ca 0.0000 0.0000 17.4166
Ca 0.0000 2.5106 0.0000
Ca 0.0000 2.5106 4.9824
Ca 0.0000 2.5106 9.9648
Ca 0.0000 2.5106 14.9472
Ca 2.5106 0.0000 0.0000
Ca 2.5106 0.0000 4.9824
Ca 2.5106 0.0000 9.9648
Ca 2.5106 0.0000 14.9472
Ca 2.5106 2.5106 7.4518
Ca 2.5106 2.5106 12.4779
Ta 0.0000 0.0000 7.4668
Ta 0.0000 0.0000 12.4629
Ta 2.5106 2.5106 2.4980
Ta 2.5106 2.5106 17.4316



16
Lattice="1.7342 -5.9583 0.0000 1.7342 5.9583 0.0000 0.0000 0.0000 12.6555" Properties=species:S:1:pos:R:3 comment="GGA-PBE La2PmVN4, relaxed" raw_formation_energy_ev_per_atom=-1.13 pbc="T T T"
La 1.7342 4.3657 6.8620
La 1.7342 4.3657 12.1212
La 1.7342 -4.3657 0.5343
La 1.7342 -4.3657 5.7935
Pm 1.7342 1.0650 9.4916
Pm 1.7342 -1.0650 3.1639
V 1.7342 2.1201 3.1639
V 1.7342 -2.1201 9.4916
N 1.7342 4.9665 9.4916
N 1.7342 3.2771 1.7871
N 1.7342 3.2771 4.5406
N 1.7342 0.0000 0.0000
N 1.7342 0.0000 6.3278
N 1.7342 -3.2771 8.1149
N 1.7342 -3.2771 10.8684
N 1.7342 -4.9665 3.1639



6
Lattice="6.9906 0.0000 0.0000 0.0000 4.0502 0.0000 -0.0091 0.0000 7.0221" Properties=species:S:1:pos:R:3 comment="GGA-PBE PmYTe, relaxed" raw_formation_energy_ev_per_atom=-0.80 relative_energy_mev_per_atom=0 pbc="T T T"
Pm 1.4263 1.0126 0.5982
Pm 5.5551 3.0377 6.4239
Y 1.4115 3.0377 4.0790
Y 5.5699 1.0126 2.9431
Te 3.4574 1.0126 5.2283
Te 3.5240 3.0377 1.7938



12
Lattice="3.8370 -6.4320 0.0000 3.8370 6.4320 0.0000 -2.0022 0.0000 5.3328" Properties=species:S:1:pos:R:3 comment="GGA-PBE Hf4ZrTi, relaxed" formation_enthalpy_0k_ev_per_atom=0.077 pbc="T T T"
Hf 1.1987 3.9667 5.0838
Hf 0.9751 1.4188 3.4317
Hf 3.4721 3.9667 2.9154
Hf 1.9762 -1.4188 0.7653
Hf 3.6957 1.4188 4.5676
Hf 2.1998 -3.9667 2.4174
Hf 4.6968 -1.4188 1.9011
Hf 4.4732 -3.9667 0.2490
Zr 3.3365 1.2420 1.3332
Zr 2.3354 -1.2420 3.9996
Ti 2.3354 6.4003 3.9996
Ti 3.3365 -6.4003 1.3332



9
Lattice="4.7050 -2.7721 0.0000 4.7050 2.7721 0.0000 -0.3204 0.0000 10.3947" Properties=species:S:1:pos:R:3 comment="GGA-PBE Ac2Hg4Pb3, relaxed" formation_enthalpy_0k_ev_per_atom=-0.362 pbc="T T T"
Ac 1.5020 0.0000 2.9774
Ac 7.5877 0.0000 7.4173
Hg 1.3564 0.0000 6.3697
Hg 4.4191 0.0000 8.7739
Hg 4.6706 0.0000 1.6208
Hg 7.7332 0.0000 4.0250
Pb 1.2607 0.0000 9.7806
Pb 4.5448 0.0000 5.1973
Pb 7.8290 0.0000 0.6141



12
Lattice="6.9202 0.0000 0.0000 0.0000 6.9203 0.0000 -0.0131 0.0000 7.3647" Properties=species:S:1:pos:R:3 comment="GGA-PBE Tb4SbIr, relaxed" raw_formation_energy_ev_per_atom=-0.63 relative_energy_mev_per_atom=89 pbc="T T T"
Tb 1.7246 1.7294 1.6495
Tb 1.7224 1.7307 5.7153
Tb 1.7246 5.1909 1.6495
Tb 1.7224 5.1895 5.7153
Tb 5.1847 1.7307 1.6495
Tb 5.1825 1.7294 5.7153
Tb 5.1847 5.1895 1.6495
Tb 5.1825 5.1909 5.7153
Sb -0.0066 0.0000 3.6824
Sb 3.4535 3.4601 3.6824
Ir 0.0000 3.4601 0.0000
Ir 3.4601 0.0000 0.0000



10
Lattice="7.4868 -2.1629 0.0000 7.4868 2.1629 0.0000 -0.0315 0.0000 8.4684" Properties=species:S:1:pos:R:3 comment="GGA-PBE Nd3GeRh, relaxed" formation_enthalpy_0k_ev_per_atom=-0.603 pbc="T T T"
Nd 0.6926 0.0000 2.7599
Nd 3.6563 0.0000 5.8881
Nd 5.8158 0.0000 0.5377
Nd 9.1263 0.0000 7.9307
Nd 11.2858 0.0000 2.5803
Nd 14.2495 0.0000 5.7085
Ge 5.8271 0.0000 3.6451
Ge 9.1150 0.0000 4.8233
Rh 2.8959 0.0000 0.7423
Rh 12.0463 0.0000 7.7261



16
Lattice="7.8868 0.0000 0.0000 0.0000 7.8868 0.0000 0.0000 0.0000 7.8868" Properties=species:S:1:pos:R:3 comment="GGA-PBE SrEuTlGa, relaxed" formation_enthalpy_0k_ev_per_atom=-0.398 pbc="T T T"
Sr 0.0000 0.0000 0.0000
Sr 0.0000 3.9434 3.9434
Sr 3.9434 0.0000 3.9434
Sr 3.9434 3.9434 0.0000
Eu 0.0000 0.0000 3.9434
Eu 0.0000 3.9434 0.0000
Eu 3.9434 0.0000 0.0000
Eu 3.9434 3.9434 3.9434
Tl 1.9717 1.9717 5.9151
Tl 1.9717 5.9151 1.9717
Tl 5.9151 1.9717 1.9717
Tl 5.9151 5.9151 5.9151
Ga 1.9717 1.9717 1.9717
Ga 1.9717 5.9151 5.9151
Ga 5.9151 1.9717 5.9151
Ga 5.9151 5.9151 1.9717



8
Lattice="5.0685 0.0000 0.0000 0.0000 5.0685 0.0000 0.0000 0.0000 5.0685" Properties=species:S:1:pos:R:3 comment="GGA-PBE CdIr3, relaxed" formation_enthalpy_0k_ev_per_atom=0.689 pbc="T T T"
Cd 0.0000 0.0000 0.0000
Cd 2.5342 2.5342 2.5342
Ir 0.0000 1.2671 2.5342
Ir 0.0000 3.8014 2.5342
Ir 1.2671 2.5342 0.0000
Ir 2.5342 0.0000 1.2671
Ir 2.5342 0.0000 3.8014
Ir 3.8014 2.5342 0.0000



no.,electronic total energy (Ry per atom)
1,-0.206
2,-0.457
3,-0.517
4,-0.274
5,-0.607
6,-0.410
7,-0.684
8,-0.194
9,-0.432
10,-0.431
11,-0.348
12,-0.455